Entry A
Here is a PBEsol-optimized structure of YMg2Re from Alexandria. Energies are from meta-GGA SCAN.

Cell and atoms, written as extended XYZ:
```
4
Lattice="-4.408 -0.781 1.642 -2.915 -2.979 -2.317 -1.116 -4.219 1.921" Properties=species:S:1:pos:R:3 pbc="T T T"
Mg -6.329 -5.984 0.934
Mg -2.110 -1.995 0.311
Re 0.000 0.000 0.000
Y -4.219 -3.989 0.623
```

=====

Entry B
Here is a PBEsol-optimized structure of YMg2Re from Alexandria. Energies are from meta-GGA SCAN.

Cell and atoms, written as extended XYZ:
```
4
Lattice="-2.159 -0.076 3.528 3.533 -0.370 2.154 0.309 4.624 0.288" Properties=species:S:1:pos:R:3 pbc="T T T"
Mg 0.000 0.000 0.000
Mg 0.687 -0.223 2.841
Re -0.925 2.274 1.908
Y 1.921 2.127 1.221
```

=====

Which of them is the least stable? Correct choice: entry A.

=====

Entry A
Here is a PBEsol-optimized structure of Mg5Rh from Alexandria. Energies are from meta-GGA SCAN.

Cell and atoms, written as extended XYZ:
```
6
Lattice="-1.600 2.295 1.651 -1.101 -2.253 2.065 8.839 1.551 6.407" Properties=species:S:1:pos:R:3 pbc="T T T"
Mg 7.723 1.355 5.599
Mg 1.116 0.196 0.809
Mg 4.741 1.090 6.273
Mg 1.397 0.503 3.850
Mg 4.420 0.775 3.204
Rh -1.350 0.021 1.858
```

=====

Entry B
Here is a PBEsol-optimized structure of Mg5Rh from Alexandria. Energies are from meta-GGA SCAN.

Cell and atoms, written as extended XYZ:
```
6
Lattice="-2.159 1.956 -1.365 -1.885 -1.185 5.075 4.764 5.501 0.350" Properties=species:S:1:pos:R:3 pbc="T T T"
Mg 0.889 6.135 3.596
Mg 1.103 3.238 2.897
Mg -0.849 2.293 0.838
Mg 1.972 5.422 0.860
Mg -1.931 3.005 3.570
Rh -1.284 0.483 2.723
```

=====

Which of them is the least stable? Correct choice: entry A.

=====

Entry A
Here is a PBEsol-optimized structure of Mg5Rh from Alexandria. Energies are from meta-GGA SCAN.

Cell and atoms, written as extended XYZ:
```
6
Lattice="4.350 0.000 0.000 0.000 4.436 0.000 -2.175 0.000 5.848" Properties=species:S:1:pos:R:3 pbc="T T T"
Mg 0.000 2.218 4.058
Mg 0.000 0.000 1.773
Mg 0.000 2.218 0.000
Mg 2.175 0.000 4.075
Mg 2.175 2.218 1.791
Rh 2.175 0.000 0.000
```

=====

Entry B
Here is a PBEsol-optimized structure of Mg5Rh from Alexandria. Energies are from meta-GGA SCAN.

Cell and atoms, written as extended XYZ:
```
6
Lattice="4.729 0.000 0.000 0.000 5.225 0.000 0.000 -2.613 4.525" Properties=species:S:1:pos:R:3 pbc="T T T"
Mg 0.000 0.812 1.406
Mg 0.000 3.602 0.000
Mg 0.000 -1.801 3.119
Mg 2.364 0.000 3.017
Mg 2.364 2.613 1.508
Rh 2.364 0.000 0.000
```

=====

Which of them is the least stable? Correct choice: entry B.

=====

Entry A
Here is a PBEsol-optimized structure of Mg5Rh3 from Alexandria. Energies are from meta-GGA SCAN.

Cell and atoms, written as extended XYZ:
```
8
Lattice="-0.553 -3.253 -2.913 5.350 0.001 -1.017 -0.766 -3.524 4.081" Properties=species:S:1:pos:R:3 pbc="T T T"
Mg 0.000 0.000 0.000
Mg -0.383 -1.762 2.041
Mg 2.675 0.000 -0.508
Mg 1.014 -2.618 -0.594
Mg 3.017 -4.158 0.746
Rh 2.292 -1.762 1.532
Rh 3.656 -2.443 -1.291
Rh 0.375 -4.333 1.443
```

=====

Entry B
Here is a PBEsol-optimized structure of Mg5Rh3 from Alexandria. Energies are from meta-GGA SCAN.

Cell and atoms, written as extended XYZ:
```
16
Lattice="5.266 0.000 0.000 0.000 7.655 0.000 0.000 -3.827 6.629" Properties=species:S:1:pos:R:3 pbc="T T T"
Mg 0.000 3.827 2.210
Mg 2.633 0.000 4.419
Mg 0.000 0.000 4.419
Mg 2.633 3.827 2.210
Mg 3.950 2.852 4.940
Mg 1.317 0.976 1.690
Mg 3.950 -0.976 1.690
Mg 3.950 1.951 0.000
Mg 1.317 5.704 0.000
Mg 1.317 -2.852 4.940
Rh 3.950 1.517 2.628
Rh 1.317 2.310 4.001
Rh 3.950 -2.310 4.001
Rh 3.950 4.620 0.000
Rh 1.317 3.035 0.000
Rh 1.317 -1.517 2.628
```

=====

Which of them is the least stable? Correct choice: entry B.